(1)
LiReIN2: optimized geometry, PBE-GGA.

Output
- Magnetization: 0.156 Bohr magnetons per cell
- Mass density: 6.51 g cm⁻³
- Raw formation energy: 0.134 eV per atom
- Volume: 89 Å³ per cell
- Crystal system: tetragonal

a b c (Å): 3.8783 3.8783 5.8991
angles (deg): 90.00 90.00 90.00
Last column: nearest neighbours and their distance in Å.
Positions (direct):
N 0.5000 0.0000 0.0000  2 Re 1.94
I 0.0000 0.0000 0.5000  4 Li 2.74, 2 Re 2.95
N 0.0000 0.5000 0.0000  2 Re 1.94
Re 0.0000 0.0000 0.0000  4 N 1.94
Li 0.5000 0.5000 0.5000  4 I 2.74


(2)
YTm4Bi5: optimized geometry, PBE-GGA.

Output
- Magnetization: 0.000 Bohr magnetons per cell
- Mass density: 9.69 g cm⁻³
- Volume: 310 Å³ per cell
- Crystal system: orthorhombic
- Formation energy from the elements: -0.81 eV per atom

a b c (Å): 4.4438 6.2814 11.7548
angles (deg): 105.50 100.90 90.00
Last column: nearest neighbours and their distance in Å.
Positions (direct):
Y 0.0000 0.0000 0.0000  6 Bi 3.14-3.17
Tm 0.5999 0.5999 0.1997  6 Bi 3.14
Bi 0.8004 0.3004 0.6007  6 Tm 3.14
Tm 0.7993 0.7993 0.5985  6 Bi 3.13-3.14
Bi 0.3985 0.8985 0.7970  4 Tm 3.13-3.14, 2 Y 3.17
Tm 0.4001 0.4001 0.8003  6 Bi 3.14
Bi 0.6015 0.1015 0.2030  4 Tm 3.13-3.14, 2 Y 3.17
Bi 0.0000 0.5000 0.0000  4 Tm 3.14, 2 Y 3.14
Bi 0.1996 0.6996 0.3993  6 Tm 3.14
Tm 0.2007 0.2007 0.4015  6 Bi 3.13-3.14